<A>
{
  "formula": "SrScP2O",
  "functional": "PBE",
  "state": "optimized geometry",
  "lattice_angstrom": [[-0.074, -3.057, 4.208], [2.340, -3.779, -2.704], [3.614, 1.442, 1.112]],
  "species": ["P", "P", "O", "Sr", "Sc"],
  "frac_coords": [[0.500, 0.000, 0.000], [0.000, 0.500, 0.000], [0.000, 0.000, 0.500], [0.500, 0.500, 0.500], [0.000, 0.000, 0.000]]
}

<B>
{
  "formula": "SrScP2O",
  "functional": "PBE",
  "state": "optimized geometry",
  "lattice_angstrom": [[5.338, 0.000, 0.000], [0.000, 5.338, 0.000], [0.000, 0.000, 4.306]],
  "species": ["Sc", "Sr", "P", "P", "O"],
  "frac_coords": [[0.500, 0.500, 0.500], [0.000, 0.000, 0.000], [0.500, 0.000, 0.000], [0.000, 0.500, 0.000], [0.000, 0.000, 0.500]]
}

Which structure is most stable? <A>, by 1286 meV per atom over the runner-up.

<A>
{
  "formula": "ScTcP2O",
  "functional": "PBE",
  "state": "optimized geometry",
  "lattice_angstrom": [[-1.625, -2.933, -3.737], [1.903, -4.021, 2.329], [-3.310, -0.504, 1.835]],
  "species": ["P", "P", "O", "Sc", "Tc"],
  "frac_coords": [[0.000, 0.500, 0.000], [0.500, 0.000, 0.000], [0.000, 0.000, 0.500], [0.000, 0.000, 0.000], [0.500, 0.500, 0.500]]
}

<B>
{
  "formula": "ScTcP2O",
  "functional": "PBE",
  "state": "optimized geometry",
  "lattice_angstrom": [[4.804, 0.000, 0.000], [0.000, 4.804, 0.000], [0.000, 0.000, 3.688]],
  "species": ["P", "P", "Sc", "Tc", "O"],
  "frac_coords": [[0.000, 0.500, 0.000], [0.500, 0.000, 0.000], [0.500, 0.500, 0.500], [0.000, 0.000, 0.000], [0.000, 0.000, 0.500]]
}

Which structure is most stable? <B>, by 698 meV per atom over the runner-up.